# 1
Computed, not measured: a relaxed structure of PmSmHg at the GGA-PBE level of DFT.

## Properties
- formation energy (eV/atom) = -0.31
- relative energy among the computed polymorphs (meV per atom) = 31

Cell: 3.7203 3.7203 6.9826 Å, 105.45 105.45 90.00°
Last column: magnetic moment on the atom in μB.
Element x y z (fractional)
Sm 0.6029 0.6029 0.2059  0.07
Hg 0.9513 0.9513 0.9025  -0.01
Pm 0.2958 0.2958 0.5916  0.08



# 2
Computed, not measured: a relaxed structure of CsPr4Te6 at the GGA-PBE level of DFT.

## Properties
- formation energy without anion corrections (kJ/mol of formula units) = -1483
- relative energy among the computed polymorphs (meV per atom) = 0

Cell: 4.6107 7.9695 24.2732 Å, 90.00 90.00 106.81°
Element x y z (fractional)
Pr 0.8665 0.7329 0.9605
Pr 0.5951 0.1901 0.6291
Pr 0.1335 0.2671 0.4605
Pr 0.8665 0.7329 0.5395
Pr 0.1335 0.2671 0.0395
Pr 0.4049 0.8099 0.3709
Pr 0.4049 0.8099 0.1291
Pr 0.5951 0.1901 0.8709
Te 0.2301 0.4601 0.9184
Te 0.6440 0.2880 0.7500
Te 0.9601 0.9202 0.6525
Te 0.2301 0.4601 0.5816
Te 0.0399 0.0798 0.1525
Te 0.9601 0.9202 0.8475
Te 0.5000 0.0000 0.5000
Te 0.7699 0.5399 0.0816
Te 0.7699 0.5399 0.4184
Te 0.0399 0.0798 0.3475
Te 0.5000 0.0000 0.0000
Te 0.3560 0.7120 0.2500
Cs 0.6620 0.3240 0.2500
Cs 0.3380 0.6760 0.7500



# 3
Computed, not measured: a relaxed structure of Mg2CuRhAu at the GGA-PBE level of DFT.

## Properties
- formation energy (eV/atom) = 0.66

Cell: 4.8955 5.0155 4.8955 Å, 90.00 90.00 90.00°
Element x y z (fractional)
Au 0.0000 0.0000 0.0000
Mg 0.5000 0.0000 0.0000
Mg 0.0000 0.0000 0.5000
Rh 0.0000 0.5000 0.0000
Cu 0.5000 0.5000 0.5000



# 4
Computed, not measured: a relaxed structure of ScAgPCl2 at the GGA-PBE level of DFT.

## Properties
- formation energy without anion corrections (kJ/mol of formula units) = 11
- relative energy among the computed polymorphs (meV per atom) = 608

Cell: 4.8129 4.8129 5.1512 Å, 90.00 90.00 90.00°
Last column: magnetic moment on the atom in μB.
Element x y z (fractional)
Cl 0.0000 0.5000 0.0000  -0.01
Cl 0.5000 0.0000 0.0000  -0.01
P 0.0000 0.0000 0.5000  -0.03
Sc 0.5000 0.5000 0.5000  0.15
Ag 0.0000 0.0000 0.0000  -0.01